(i)
Material: V3TcCl
Method: DFT, PBE
State: relaxed

Structure (CIF):
```
data_V3TcCl
_chemical_formula_sum 'V3 Tc1 Cl1'
_cell_length_a 4.754
_cell_length_b 4.754
_cell_length_c 4.754
_cell_angle_alpha 90.00
_cell_angle_beta 90.00
_cell_angle_gamma 90.00
_symmetry_space_group_name_H-M 'P m -3 m'
_symmetry_Int_Tables_number 221
_symmetry_space_group_name_Hall '-P 4 2 3'
loop_
_atom_site_label
_atom_site_type_symbol
_atom_site_fract_x
_atom_site_fract_y
_atom_site_fract_z
V1 V 0.000 0.000 0.500
Tc1 Tc 0.000 0.000 0.000
Cl1 Cl 0.500 0.500 0.500
```

Output
Magnetic moment in μB per formula unit: 6.9

=====

(ii)
Material: V3TcCl
Method: DFT, PBE
State: relaxed

Structure (CIF):
```
data_V3TcCl
_chemical_formula_sum 'V3 Tc1 Cl1'
_cell_length_a 4.205
_cell_length_b 4.205
_cell_length_c 4.205
_cell_angle_alpha 90.00
_cell_angle_beta 90.00
_cell_angle_gamma 90.00
_symmetry_space_group_name_H-M 'P m -3 m'
_symmetry_Int_Tables_number 221
_symmetry_space_group_name_Hall '-P 4 2 3'
loop_
_atom_site_label
_atom_site_type_symbol
_atom_site_fract_x
_atom_site_fract_y
_atom_site_fract_z
V1 V 0.000 0.000 0.500
Tc1 Tc 0.500 0.500 0.500
Cl1 Cl 0.000 0.000 0.000
```

Output
Magnetic moment in μB per formula unit: 0.9

=====

Least stable = (i)

=====

(i)
Material: VTcCl2
Method: DFT, PBE
State: relaxed

Structure (CIF):
```
data_VTcCl2
_chemical_formula_sum 'V3 Tc3 Cl6'
_cell_length_a 2.9921
_cell_length_b 2.9921
_cell_length_c 24.1059
_cell_angle_alpha 90.00
_cell_angle_beta 90.00
_cell_angle_gamma 120.00
_symmetry_space_group_name_H-M 'R -3 m'
_symmetry_Int_Tables_number 166
_symmetry_space_group_name_Hall '-R 3 2"'
loop_
_atom_site_label
_atom_site_type_symbol
_atom_site_fract_x
_atom_site_fract_y
_atom_site_fract_z
V1 V 0.0000 0.0000 0.0000
Tc1 Tc 0.0000 0.0000 0.5000
Cl1 Cl 0.0000 0.0000 0.4023
```

Output
Magnetic moment in μB per formula unit: 1.7

=====

(ii)
Material: VTcCl2
Method: DFT, PBE
State: relaxed

Structure (CIF):
```
data_VTcCl2
_chemical_formula_sum 'V4 Tc4 Cl8'
_cell_length_a 5.227
_cell_length_b 5.227
_cell_length_c 11.262
_cell_angle_alpha 90.00
_cell_angle_beta 90.00
_cell_angle_gamma 90.00
_symmetry_space_group_name_H-M 'I -4 2 d'
_symmetry_Int_Tables_number 122
_symmetry_space_group_name_Hall 'I -4 2bw'
loop_
_atom_site_label
_atom_site_type_symbol
_atom_site_fract_x
_atom_site_fract_y
_atom_site_fract_z
V1 V 0.000 0.000 0.000
Tc1 Tc 0.000 0.000 0.500
Cl1 Cl 0.244 0.250 0.125
```

Output
Magnetic moment in μB per formula unit: 1.5

=====

Least stable = (ii)

=====

(i)
Material: TcWCl
Method: DFT, PBE
State: relaxed

Structure (CIF):
```
data_TcWCl
_chemical_formula_sum 'Tc4 W4 Cl4'
_cell_length_a 6.018
_cell_length_b 6.018
_cell_length_c 6.018
_cell_angle_alpha 90.00
_cell_angle_beta 90.00
_cell_angle_gamma 90.00
_symmetry_space_group_name_H-M 'F -4 3 m'
_symmetry_Int_Tables_number 216
_symmetry_space_group_name_Hall 'F -4 2 3'
loop_
_atom_site_label
_atom_site_type_symbol
_atom_site_fract_x
_atom_site_fract_y
_atom_site_fract_z
Tc1 Tc 0.000 0.000 0.000
W1 W 0.250 0.250 0.250
Cl1 Cl 0.250 0.250 0.750
```

Output
Magnetic moment in μB per formula unit: 0.0

=====

(ii)
Material: TcWCl
Method: DFT, PBE
State: relaxed

Structure (CIF):
```
data_TcWCl
_chemical_formula_sum 'Tc2 W2 Cl2'
_cell_length_a 2.989
_cell_length_b 2.989
_cell_length_c 11.021
_cell_angle_alpha 90.00
_cell_angle_beta 90.00
_cell_angle_gamma 90.00
_symmetry_space_group_name_H-M 'I 4 m m'
_symmetry_Int_Tables_number 107
_symmetry_space_group_name_Hall 'I 4 -2'
loop_
_atom_site_label
_atom_site_type_symbol
_atom_site_fract_x
_atom_site_fract_y
_atom_site_fract_z
Tc1 Tc 0.000 0.000 0.000
W1 W 0.000 0.000 0.636
Cl1 Cl 0.000 0.000 0.309
```

Output
Magnetic moment in μB per formula unit: 0.0

=====

(iii)
Material: TcWCl
Method: DFT, PBE
State: relaxed

Structure (CIF):
```
data_TcWCl
_chemical_formula_sum 'Tc1 W1 Cl1'
_cell_length_a 2.9621
_cell_length_b 2.9621
_cell_length_c 6.3367
_cell_angle_alpha 90.00
_cell_angle_beta 90.00
_cell_angle_gamma 120.00
_symmetry_space_group_name_H-M 'P 3 m 1'
_symmetry_Int_Tables_number 156
loop_
_symmetry_equiv_pos_as_xyz
'x,y,z'
'-y,x-y,z'
'-x+y,-x,z'
'-y,-x,z'
'-x+y,y,z'
'x,x-y,z'
loop_
_atom_site_label
_atom_site_type_symbol
_atom_site_fract_x
_atom_site_fract_y
_atom_site_fract_z
Tc1 Tc 0.0000 0.0000 0.0000
W1 W 0.6667 0.3333 0.3085
Cl1 Cl 0.3333 0.6667 0.6285
```

Output
Magnetic moment in μB per formula unit: 0.0

=====

Least stable = (i)

=====

(i)
Material: TcWCl
Method: DFT, PBE
State: relaxed

Structure (CIF):
```
data_TcWCl
_chemical_formula_sum 'Tc4 W4 Cl4'
_cell_length_a 3.073
_cell_length_b 5.198
_cell_length_c 13.115
_cell_angle_alpha 90.00
_cell_angle_beta 90.00
_cell_angle_gamma 90.00
_symmetry_space_group_name_H-M 'F m m 2'
_symmetry_Int_Tables_number 42
_symmetry_space_group_name_Hall 'F 2 -2'
loop_
_atom_site_label
_atom_site_type_symbol
_atom_site_fract_x
_atom_site_fract_y
_atom_site_fract_z
Tc1 Tc 0.000 0.000 0.000
W1 W 0.000 0.000 0.358
Cl1 Cl 0.000 0.000 0.691
```

Output
Magnetic moment in μB per formula unit: 0.0

=====

(ii)
Material: TcWCl
Method: DFT, PBE
State: relaxed

Structure (CIF):
```
data_TcWCl
_chemical_formula_sum 'Tc2 W2 Cl2'
_cell_length_a 2.912
_cell_length_b 4.116
_cell_length_c 7.761
_cell_angle_alpha 90.00
_cell_angle_beta 90.00
_cell_angle_gamma 90.00
_symmetry_space_group_name_H-M 'I m m 2'
_symmetry_Int_Tables_number 44
loop_
_symmetry_equiv_pos_as_xyz
'x,y,z'
'-x,-y,z'
'-x,y,z'
'x,-y,z'
'x+1/2,y+1/2,z+1/2'
'-x+1/2,-y+1/2,z+1/2'
'-x+1/2,y+1/2,z+1/2'
'x+1/2,-y+1/2,z+1/2'
loop_
_atom_site_label
_atom_site_type_symbol
_atom_site_fract_x
_atom_site_fract_y
_atom_site_fract_z
Tc1 Tc 0.000 0.000 0.000
W1 W 0.000 0.000 0.338
Cl1 Cl 0.000 0.000 0.661
```

Output
Magnetic moment in μB per formula unit: 0.0

=====

(iii)
Material: TcWCl
Method: DFT, PBE
State: relaxed

Structure (CIF):
```
data_TcWCl
_chemical_formula_sum 'Tc4 W4 Cl4'
_cell_length_a 6.011
_cell_length_b 6.011
_cell_length_c 6.011
_cell_angle_alpha 90.00
_cell_angle_beta 90.00
_cell_angle_gamma 90.00
_symmetry_space_group_name_H-M 'F -4 3 m'
_symmetry_Int_Tables_number 216
_symmetry_space_group_name_Hall 'F -4 2 3'
loop_
_atom_site_label
_atom_site_type_symbol
_atom_site_fract_x
_atom_site_fract_y
_atom_site_fract_z
Tc1 Tc 0.000 0.000 0.000
W1 W 0.250 0.250 0.250
Cl1 Cl 0.000 0.000 0.500
```

Output
Magnetic moment in μB per formula unit: 0.0

=====

Least stable = (iii)